## CsK3Rb8 (PBE)

Data for a geometry-optimized CsK3Rb8 structure.

It has space group Cm (No. 8), with a = 33.8515 Å, b = 7.9907 Å, c = 7.9983 Å, α = 90.00°, β = 103.64° and γ = 90.00°. The distinct sites, in fractional coordinates, are Cs at (0.0000, 0.0000, 0.0000), K at (0.0872, 0.5000, 0.0921), K at (0.3353, 0.5000, 0.8393), K at (0.4137, 0.0000, 0.9111), Rb at (0.0014, 0.5000, 0.5032), Rb at (0.0879, 0.0000, 0.5850), Rb at (0.1684, 0.5000, 0.6737), Rb at (0.1688, 0.0000, 0.1656), Rb at (0.2525, 0.5000, 0.2577), Rb at (0.2555, 0.0000, 0.7516), Rb at (0.3367, 0.0000, 0.3324) and Rb at (0.4132, 0.5000, 0.4162).

The calculation puts the total DFT energy (no corrections) at -0.984 eV/atom. For the density of states at the Fermi level, the calculation gives 20.74 states/eV per cell.